This record from Alexandria describes an optimized crystal structure of MnRe2SbSe. The functional is GGA-PBEsol.

The structure in POSCAR format:
```
MnRe2SbSe
1.0
-1.046 -4.373 1.969
4.612 -1.470 -0.815
1.406 1.792 4.727
Re Mn Se Sb
2 1 1 1
direct
0.000 0.500 0.000
0.500 0.000 0.000
0.500 0.500 0.500
0.000 0.000 0.500
0.000 0.000 0.000
```

Summary:
Magnetic moment, Bohr magnetons per cell: 0.26
V, Å³ per atom: 25.29
SG: P4/mmm (123)
Formation energy (no corrections), eV per atom: 2.469